(1)
12
Lattice="-2.323 1.328 -5.547 -1.403 -5.343 2.723 -7.963 6.318 5.981" Properties=species:S:1:pos:R:3 comment="Tb6NdDy2Ho3 (PBE-GGA, optimized geometry)" sg="C2/m, No. 12" rho_g_cm3=8.34 dft_energy_ev_per_atom=-4.61 ef_mev_per_atom=15 pbc="T T T"
Tb -8.899 2.834 0.979
Tb -4.801 -1.422 -0.613
Tb -2.789 -0.531 2.178
Tb -8.592 0.606 3.741
Tb -6.888 3.725 3.770
Tb -3.096 1.697 -0.584
Nd 0.000 0.000 0.000
Dy -1.710 -3.120 -0.033
Dy -2.016 -0.895 -2.791
Ho -5.538 -1.070 4.334
Ho -6.151 3.373 -1.176
Ho -5.844 1.151 1.579

=====

(2)
5
Lattice="-1.807 1.807 6.268 1.807 -1.807 6.268 1.807 1.807 -6.268" Properties=species:S:1:pos:R:3 comment="TcIr4 (PBE-GGA, optimized geometry)" sg="I4/mmm, No. 139" rho_g_cm3=17.58 dft_energy_ev_per_atom=-8.62 de_polymorph_mev_per_atom=651 ef_mev_per_atom=543 pbc="T T T"
Tc 0.000 0.000 0.000
Ir 1.807 0.000 3.134
Ir 0.000 0.000 7.491
Ir 0.000 0.000 5.045
Ir 0.000 1.807 3.134

=====

(3)
20
Lattice="-2.254 -3.977 5.662 -2.306 -3.061 -6.186 7.270 0.306 -0.008" Properties=species:S:1:pos:R:3 comment="Ba4TmNb3O12 (PBE-GGA, optimized geometry)" sg="Im-3m, No. 229" rho_g_cm3=6.66 e_form_raw_kj_per_mol_fu=-5595 dft_energy_ev_per_atom=-7.99 pbc="T T T"
Ba 1.355 -3.366 -0.266
Ba 3.635 0.153 -0.004
Ba -1.127 -1.988 2.831
Ba -1.153 -1.531 -3.093
Tm 0.000 0.000 0.000
Nb 2.508 -1.835 2.827
Nb -2.280 -3.519 -0.262
Nb 2.482 -1.378 -3.097
O 3.736 -2.295 -1.684
O 3.708 -2.713 4.179
O 1.309 -0.958 1.475
O -1.026 -4.437 1.151
O -3.370 -5.202 -0.387
O -1.190 -1.836 -0.137
O 1.368 -3.595 2.696
O 1.342 -3.137 -3.228
O 3.749 -2.524 1.278
O 3.669 -2.036 -4.578
O -1.039 -4.208 -1.810
O 1.295 -0.719 -1.616